# SCAN ZnCrRu2, PBEsol geometry
data_ZnCrRu2
_chemical_formula_sum 'Zn1 Cr1 Ru2'
_cell_length_a 2.6509
_cell_length_b 2.6509
_cell_length_c 7.3336
_cell_angle_alpha 90.00
_cell_angle_beta 90.00
_cell_angle_gamma 90.00
_symmetry_space_group_name_H-M 'P 4 m m'
_symmetry_Int_Tables_number 99
_symmetry_space_group_name_Hall 'P 4 -2'
loop_
_atom_site_label
_atom_site_type_symbol
_atom_site_fract_x
_atom_site_fract_y
_atom_site_fract_z
_atom_site_occupancy
Zn1 Zn 0.0000 0.0000 0.0000 1
Cr1 Cr 0.5000 0.5000 0.2521 1
Ru1 Ru 0.0000 0.0000 0.4907 1
Ru2 Ru 0.5000 0.5000 0.7418 1
# **Total energy**: -25.2129 eV per atom
# **Energy of formation from the pure elements**: 0.175 eV/atom
# **Total moment**: 0.00 μB/f.u.

***

# SCAN Ta3AlC2, PBEsol geometry
data_Ta3AlC2
_chemical_formula_sum 'Ta6 Al2 C4'
_cell_length_a 3.0748
_cell_length_b 3.0748
_cell_length_c 19.1593
_cell_angle_alpha 90.00
_cell_angle_beta 90.00
_cell_angle_gamma 120.00
_symmetry_space_group_name_H-M 'P 63/m m c'
_symmetry_Int_Tables_number 194
_symmetry_space_group_name_Hall '-P 6c 2c'
loop_
_atom_site_label
_atom_site_type_symbol
_atom_site_fract_x
_atom_site_fract_y
_atom_site_fract_z
_atom_site_occupancy
Ta1 Ta 0.0000 0.0000 0.0000 1
Ta2 Ta 0.3333 0.6667 0.1339 1
Al1 Al 0.0000 0.0000 0.2500 1
C1 C 0.3333 0.6667 0.5684 1
# **Total energy**: -38.5336 eV per atom
# **Energy of formation from the pure elements**: -0.583 eV/atom
# **Total moment**: 0.00 μB/f.u.

***

# SCAN Mn3SnH, PBEsol geometry
data_Mn3SnH
_chemical_formula_sum 'Mn3 Sn1 H1'
_cell_length_a 3.7960
_cell_length_b 3.7960
_cell_length_c 3.7960
_cell_angle_alpha 90.00
_cell_angle_beta 90.00
_cell_angle_gamma 90.00
_symmetry_space_group_name_H-M 'P m -3 m'
_symmetry_Int_Tables_number 221
_symmetry_space_group_name_Hall '-P 4 2 3'
loop_
_atom_site_label
_atom_site_type_symbol
_atom_site_fract_x
_atom_site_fract_y
_atom_site_fract_z
_atom_site_occupancy
Mn1 Mn 0.0000 0.0000 0.5000 1
Sn1 Sn 0.5000 0.5000 0.5000 1
H1 H 0.0000 0.0000 0.0000 1
# **Total energy**: -18.9470 eV per atom
# **Total moment**: 6.51 μB/f.u.

***

# SCAN LiMg3, PBEsol geometry
data_LiMg3
_chemical_formula_sum 'Li1 Mg3'
_cell_length_a 4.4013
_cell_length_b 4.4013
_cell_length_c 4.4013
_cell_angle_alpha 90.00
_cell_angle_beta 90.00
_cell_angle_gamma 90.00
_symmetry_space_group_name_H-M 'P m -3 m'
_symmetry_Int_Tables_number 221
_symmetry_space_group_name_Hall '-P 4 2 3'
loop_
_atom_site_label
_atom_site_type_symbol
_atom_site_fract_x
_atom_site_fract_y
_atom_site_fract_z
_atom_site_occupancy
Li1 Li 0.0000 0.0000 0.0000 1
Mg1 Mg 0.0000 0.5000 0.5000 1
# **Total energy**: -4.3423 eV per atom
# **Energy of formation from the pure elements**: -0.015 eV/atom
# **Total moment**: 0.11 μB/f.u.

***

# SCAN Ni2BiBIr, PBEsol geometry
data_Ni2BiBIr
_chemical_formula_sum 'Ni2 Bi1 B1 Ir1'
_cell_length_a 4.6312
_cell_length_b 4.6312
_cell_length_c 3.9362
_cell_angle_alpha 90.00
_cell_angle_beta 90.00
_cell_angle_gamma 90.00
_symmetry_space_group_name_H-M 'P 4/m m m'
_symmetry_Int_Tables_number 123
_symmetry_space_group_name_Hall '-P 4 2'
loop_
_atom_site_label
_atom_site_type_symbol
_atom_site_fract_x
_atom_site_fract_y
_atom_site_fract_z
_atom_site_occupancy
Ni1 Ni 0.0000 0.5000 0.0000 1
Bi1 Bi 0.0000 0.0000 0.5000 1
B1 B 0.5000 0.5000 0.5000 1
Ir1 Ir 0.5000 0.5000 0.0000 1
# **Total energy**: -37.0700 eV per atom
# **Energy of formation from the pure elements**: 0.821 eV/atom
# **Total moment**: 2.05 μB/f.u.

***

# SCAN TaSi2PBr, PBEsol geometry
data_TaSi2PBr
_chemical_formula_sum 'Ta1 Si2 P1 Br1'
_cell_length_a 4.4389
_cell_length_b 4.4389
_cell_length_c 4.7290
_cell_angle_alpha 90.00
_cell_angle_beta 90.00
_cell_angle_gamma 90.00
_symmetry_space_group_name_H-M 'P 4/m m m'
_symmetry_Int_Tables_number 123
_symmetry_space_group_name_Hall '-P 4 2'
loop_
_atom_site_label
_atom_site_type_symbol
_atom_site_fract_x
_atom_site_fract_y
_atom_site_fract_z
_atom_site_occupancy
Ta1 Ta 0.0000 0.0000 0.0000 1
Si1 Si 0.0000 0.5000 0.5000 1
P1 P 0.5000 0.5000 0.5000 1
Br1 Br 0.5000 0.5000 0.0000 1
# **Total energy**: -21.8967 eV per atom
# **Formation energy (no corrections)**: 1.3979 eV per atom
# **Total moment**: 0.77 μB/f.u.

***

Look up the total energy of the fourth one. -4.3423 eV per atom